(1)
Entry from the Alexandria database: KLiHf3 after structural relaxation (PBE).

Geometry as extended XYZ:
```
5
Lattice="5.008 0.000 0.000 0.000 5.008 0.000 0.000 0.000 5.008" Properties=species:S:1:pos:R:3 pbc="T T T"
K 0.000 0.000 0.000
Hf 0.000 0.000 2.504
Hf 2.504 0.000 0.000
Hf 0.000 2.504 0.000
Li 2.504 2.504 2.504
```

DFT formation energy = 2153.4 meV/atom
spin magnetization = 0.20 μB per atom

***

(2)
Entry from the Alexandria database: KLiHf3 after structural relaxation (PBE).

Geometry as extended XYZ:
```
5
Lattice="5.004 0.000 0.000 0.000 5.004 0.000 0.000 0.000 5.004" Properties=species:S:1:pos:R:3 pbc="T T T"
K 2.502 2.502 2.502
Hf 0.000 0.000 2.502
Hf 2.502 0.000 0.000
Hf 0.000 2.502 0.000
Li 0.000 0.000 0.000
```

DFT formation energy = 1279.5 meV/atom
spin magnetization = 0.00 μB per atom